No. 1
# LiZr2Al

A relaxed LiZr2Al crystal (PBE-GGA, the Alexandria database).

a = 5.671 Å, b = 5.671 Å, c = 5.671 Å
α = 147.01°, β = 128.56°, γ = 62.48°
Element x y z (fractional)
Li1 0.000 0.000 0.000
Zr1 0.470 0.470 0.000
Zr2 0.738 0.238 0.500
Al1 0.208 0.708 0.500

Values from the calculation:
uncorrected energy: -5.800 eV/atom
total magnetization: 0.0 μB/cell
E_form: -0.112 eV/atom
D(E_F): 2.9 states/eV/f.u.

---

No. 2
# LuMgCdAg

A relaxed LuMgCdAg crystal (PBE-GGA, the Alexandria database).

a = 4.953 Å, b = 4.953 Å, c = 4.953 Å
α = 60.00°, β = 60.00°, γ = 60.00°
Element x y z (fractional)
Lu1 0.000 0.000 0.000
Mg1 0.500 0.500 0.500
Cd1 0.250 0.250 0.250
Ag1 0.750 0.750 0.750

Values from the calculation:
uncorrected energy: -2.749 eV/atom
total magnetization: 0.0 μB/cell
E_form: -0.279 eV/atom
D(E_F): 1.6 states/eV/f.u.

---

No. 3
# CdPt14Rh

A relaxed CdPt14Rh crystal (PBE-GGA, the Alexandria database).

a = 9.324 Å, b = 5.596 Å, c = 5.596 Å
α = 60.03°, β = 90.00°, γ = 90.00°
Element x y z (fractional)
Cd1 0.000 0.000 0.000
Pt1 0.000 0.000 0.500
Pt2 0.000 0.500 0.000
Pt3 0.246 0.334 0.334
Pt4 0.249 0.335 0.831
Pt5 0.249 0.831 0.335
Pt6 0.251 0.832 0.832
Pt7 0.500 0.165 0.165
Pt8 0.500 0.165 0.665
Pt9 0.500 0.665 0.165
Pt10 0.500 0.665 0.665
Pt11 0.749 0.832 0.832
Pt12 0.751 0.335 0.831
Pt13 0.751 0.831 0.335
Pt14 0.754 0.334 0.334
Rh1 0.000 0.499 0.499

Values from the calculation:
uncorrected energy: -5.825 eV/atom
total magnetization: 0.0 μB/cell
E_form: -0.023 eV/atom
D(E_F): 28.7 states/eV/f.u.

---

No. 4
# CeHfMgN3

A relaxed CeHfMgN3 crystal (PBE-GGA, the Alexandria database).

a = 6.553 Å, b = 3.208 Å, c = 8.940 Å
α = 90.00°, β = 93.98°, γ = 90.00°
Element x y z (fractional)
Ce1 0.163 0.250 0.232
Ce2 0.837 0.750 0.768
Hf1 0.351 0.750 0.885
Hf2 0.649 0.250 0.115
Mg1 0.167 0.250 0.574
Mg2 0.833 0.750 0.426
N1 0.149 0.250 0.821
N2 0.176 0.750 0.423
N3 0.400 0.750 0.117
N4 0.600 0.250 0.883
N5 0.824 0.250 0.577
N6 0.851 0.750 0.179

Values from the calculation:
uncorrected energy: -8.277 eV/atom
total magnetization: 0.6 μB/cell
D(E_F): 3.6 states/eV/f.u.